Compound: MgTl2V2O6
Source: the Alexandria database
Functional: PBE with a Hubbard U
Structure: relaxed

Output
Total moment   0.00 Bohr magnetons per cell
Crystal system   trigonal
Electronic total energy   -0.45992 Ry per atom
Fermi-level density of states   0.000 states/eV/atom

a = 5.9694 Å, b = 5.9694 Å, c = 17.1860 Å
α = 90.00°, β = 90.00°, γ = 120.00°
With the nearest neighbours (Å) after each atom.
Space group R-3m (No. 166, hexagonal axes)
One atom of each set of equivalent atoms:
1 Mg 0.0000 0.0000 0.0000 x3  6 O 2.14
2 Tl 0.0000 0.0000 0.2178 x6  9 O 3.06-3.08
3 V 0.0000 0.0000 0.4219 x6  3 O 1.72
4 O 0.0049 0.5024 0.2619 x18  1 V 1.72